First-principles (PBE-GGA) data for YNiSbRh after structural relaxation, as listed in the Alexandria database.

extended XYZ file:
```
4
Lattice="-4.156 1.484 1.520 -3.879 -1.130 -2.337 -3.033 -3.035 1.839" Properties=species:S:1:pos:R:3 pbc="T T T"
Ni -5.534 -1.340 0.511
Rh 0.000 0.000 0.000
Y -2.767 -0.670 0.255
Sb -8.301 -2.010 0.766
```

Energy relative to the elements, uncorrected   -0.571 eV per atom
DOS at the Fermi energy   3.406 states/eV/cell